Material: BaTi2Bi2
Method: DFT, PBE
State: optimized geometry

D(E_F) (states/eV per cell): 6.11
Theoretical density (g/cm³): 7.36
Energy above the most stable polymorph in this dataset (meV per atom): 0
Total magnetic moment (μB/f.u.): 1.56

a = 4.413 Å, b = 4.413 Å, c = 8.159 Å
α = 74.31°, β = 74.31°, γ = 90.00°
Each line ends with the local moment (μB).
Element x y z (fractional)
Ba  0.000  0.000  0.000  0.00
Bi  0.373  0.373  0.254  -0.03
Ti  0.250  0.750  0.500  0.63
Bi  0.627  0.627  0.746  -0.03
Ti  0.750  0.250  0.500  0.63